# PBE-GGA NaDyMgAu, relaxed
# Total magnetization ... 0.7 μB per cell
# Electronic total energy ... -2.976 eV/atom
# Symmetry ... F-43m, No. 216
data_NaDyMgAu
_cell_length_a 5.019
_cell_length_b 5.019
_cell_length_c 5.019
_cell_angle_alpha 60.00
_cell_angle_beta 60.00
_cell_angle_gamma 60.00
_symmetry_space_group_name_H-M 'P 1'
_symmetry_Int_Tables_number 1
loop_
_symmetry_equiv_pos_as_xyz
'x,y,z'
loop_
_atom_site_label
_atom_site_type_symbol
_atom_site_fract_x
_atom_site_fract_y
_atom_site_fract_z
Na1 Na 0.750 0.750 0.750
Mg1 Mg 0.000 0.000 0.000
Dy1 Dy 0.500 0.500 0.500
Au1 Au 0.250 0.250 0.250